[1]
# Tm5HgAu4 | the Alexandria database | PBE | optimized geometry
# Electronic total energy, eV/cell: -43.9
# Crystal system: tetragonal
# Total magnetization, μB/cell: 0.0
# N(E_F), states/eV per atom: 0.5993
data_Tm5HgAu4
_cell_length_a 3.565
_cell_length_b 3.565
_cell_length_c 17.993
_cell_angle_alpha 90.00
_cell_angle_beta 90.00
_cell_angle_gamma 90.00
_symmetry_space_group_name_H-M 'P 4/m m m'
_symmetry_Int_Tables_number 123
_symmetry_space_group_name_Hall '-P 4 2'
loop_
_atom_site_label
_atom_site_type_symbol
_atom_site_fract_x
_atom_site_fract_y
_atom_site_fract_z
Tm1 Tm 0.000 0.000 0.000
Tm2 Tm 0.000 0.000 0.198
Tm3 Tm 0.000 0.000 0.394
Hg1 Hg 0.500 0.500 0.500
Au1 Au 0.500 0.500 0.099
Au2 Au 0.500 0.500 0.298


[2]
# AlVTcPd | the Alexandria database | PBE | optimized geometry
# Electronic total energy, eV/cell: -120.3
# Crystal system: cubic
# Total magnetization, μB/cell: 3.4
# N(E_F), states/eV per atom: 0.8335
data_AlVTcPd
_cell_length_a 6.103
_cell_length_b 6.103
_cell_length_c 6.103
_cell_angle_alpha 90.00
_cell_angle_beta 90.00
_cell_angle_gamma 90.00
_symmetry_space_group_name_H-M 'F -4 3 m'
_symmetry_Int_Tables_number 216
_symmetry_space_group_name_Hall 'F -4 2 3'
loop_
_atom_site_label
_atom_site_type_symbol
_atom_site_fract_x
_atom_site_fract_y
_atom_site_fract_z
Al1 Al 0.000 0.000 0.000
V1 V 0.000 0.000 0.500
Tc1 Tc 0.250 0.250 0.250
Pd1 Pd 0.250 0.250 0.750


[3]
# KCaCd2 | the Alexandria database | PBE | optimized geometry
# Electronic total energy, eV/cell: -10.0
# Crystal system: monoclinic
# Relative energy among the computed polymorphs, eV per atom: 0.122
# Total magnetization, μB/cell: 0.0
# N(E_F), states/eV per atom: 0.6380
data_KCaCd2
_cell_length_a 10.358
_cell_length_b 3.763
_cell_length_c 7.739
_cell_angle_alpha 90.00
_cell_angle_beta 99.68
_cell_angle_gamma 90.00
_symmetry_space_group_name_H-M 'C 1 2/m 1'
_symmetry_Int_Tables_number 12
_symmetry_space_group_name_Hall '-C 2y'
loop_
_atom_site_label
_atom_site_type_symbol
_atom_site_fract_x
_atom_site_fract_y
_atom_site_fract_z
K1 K 0.000 0.000 0.000
Ca1 Ca 0.000 0.500 0.500
Cd1 Cd 0.240 0.000 0.682


[4]
# As5Ru | the Alexandria database | PBE | optimized geometry
# Electronic total energy, eV/cell: -64.4
# Crystal system: monoclinic
# Relative energy among the computed polymorphs, eV per atom: 0.000
# Total magnetization, μB/cell: 0.0
# N(E_F), states/eV per atom: 0.2580
data_As5Ru
_cell_length_a 12.722
_cell_length_b 3.511
_cell_length_c 7.624
_cell_angle_alpha 90.00
_cell_angle_beta 123.11
_cell_angle_gamma 90.00
_symmetry_space_group_name_H-M 'C 1 m 1'
_symmetry_Int_Tables_number 8
_symmetry_space_group_name_Hall 'C -2y'
loop_
_atom_site_label
_atom_site_type_symbol
_atom_site_fract_x
_atom_site_fract_y
_atom_site_fract_z
As1 As 0.000 0.000 0.000
As2 As 0.005 0.000 0.339
As3 As 0.185 0.500 0.646
As4 As 0.226 0.000 0.139
As5 As 0.312 0.000 0.529
Ru1 Ru 0.142 0.500 0.295